# CsBa2Co

An optimized crystal structure of CsBa2Co (PBE, Alexandria via LeMat-Bulk).

## Properties
* energy of formation: 2.96 eV/f.u.
* N(E_F): 2.319 states/eV/atom

The structure in CIF format:
```
data_CsBa2Co
_space_group_name_H-M_alt 'P 1'
_space_group_IT_number 1
_cell_length_a 6.1989
_cell_length_b 6.1989
_cell_length_c 6.1989
_cell_angle_alpha 60.00
_cell_angle_beta 60.00
_cell_angle_gamma 60.00
loop_
_space_group_symop_operation_xyz
'x,y,z'
loop_
_atom_site_label
_atom_site_type_symbol
_atom_site_fract_x
_atom_site_fract_y
_atom_site_fract_z
Ba1 Ba 0.7500 0.7500 0.7500
Ba2 Ba 0.2500 0.2500 0.2500
Co1 Co 0.0000 0.0000 0.0000
Cs1 Cs 0.5000 0.5000 0.5000
```